Record 1
PBE ZnCdGa4, relaxed; polymorph energy (0 for the lowest one) = 0.0136 eV per atom
1.0
6.2521 -3.7827 0.0000
6.2521 3.7827 0.0000
-1.3415 0.0000 4.9967
Zn Cd Ga
2 2 8
direct
0.0549 0.0549 0.2657
0.9451 0.9451 0.7343
0.2906 0.2906 0.3851
0.7094 0.7094 0.6149
0.1711 0.1711 0.7972
0.1877 0.5739 0.9419
0.3056 0.6944 0.5000
0.4261 0.8123 0.0581
0.5739 0.1877 0.9419
0.6944 0.3056 0.5000
0.8123 0.4261 0.0581
0.8289 0.8289 0.2028

=====

Record 2
PBE PuHI3, relaxed; polymorph energy (0 for the lowest one) = 0.3332 eV per atom
1.0
-4.0329 5.9616 4.7541
4.0329 -5.9616 4.7541
4.0329 5.9616 -4.7541
Pu H I
2 2 6
direct
0.5000 0.0000 0.0000
0.5000 0.5000 0.5000
0.4154 0.1654 0.2500
0.5846 0.8346 0.7500
0.2545 0.5045 0.7500
0.2567 0.0000 0.7567
0.2567 0.5000 0.2567
0.7433 0.0000 0.2433
0.7433 0.5000 0.7433
0.7455 0.4955 0.2500

=====

Record 3
A plane-wave DFT calculation with PBE was carried out for crystalline Y2TcRh at its relaxed geometry.

Structure (POSCAR):
```
Y2TcRh
1.0
1.6997 0.9813 8.4131
-1.6997 0.9813 8.4131
0.0000 -1.9627 8.4131
Y Tc Rh
2 1 1
direct
0.2494 0.2494 0.2494
0.7506 0.7506 0.7506
0.5000 0.5000 0.5000
0.0000 0.0000 0.0000
```

=====

Record 4
PBE PdPbAu, relaxed; polymorph energy (0 for the lowest one) = 0.0223 eV per atom
1.0
-2.8226 3.4271 3.2150
2.8226 -3.4271 3.2150
2.8226 3.4271 -3.2150
Pd Pb Au
2 2 2
direct
0.0000 0.0000 0.0000
0.0000 0.5000 0.5000
0.4760 0.3781 0.5979
0.7803 0.8781 0.4021
0.1467 0.5755 0.0713
0.5042 0.0755 0.9287

=====

Record 5
PBE Ta2SnOs2, relaxed; polymorph energy (0 for the lowest one) = 0.0000 eV per atom
1.0
7.6754 0.0000 0.0000
0.0000 7.6754 0.0000
0.0000 0.0000 3.0445
Ta Sn Os
4 2 4
direct
0.1547 0.3453 0.0000
0.3453 0.8453 0.0000
0.6547 0.1547 0.0000
0.8453 0.6547 0.0000
0.0000 0.0000 0.5000
0.5000 0.5000 0.5000
0.1350 0.6350 0.5000
0.3650 0.1350 0.5000
0.6350 0.8650 0.5000
0.8650 0.3650 0.5000

=====

Record 6
PBE KBiIO2, relaxed; polymorph energy (0 for the lowest one) = 0.0000 eV per atom; uncorrected formation energy = -0.785 eV per atom
1.0
4.4691 0.0000 0.0000
0.0000 4.4691 0.0000
0.0000 0.0000 6.4604
K Bi I O
1 1 1 2
direct
0.0000 0.0000 0.0000
0.5000 0.5000 0.5000
0.5000 0.5000 0.0000
0.0000 0.5000 0.5000
0.5000 0.0000 0.5000

=====

| no. | N(E_F) (states/eV/atom) | E_tot (eV/atom) |
| --- | --- | --- |
| 1 | 0.377 | -2.310 |
| 2 | 1.720 | -4.967 |
| 3 | 0.425 | -7.677 |
| 4 | 0.323 | -4.200 |
| 5 | 0.162 | -10.114 |
| 6 | 0.233 | -4.074 |